# 1
The following is a PBE calculation of Li2Ca2PuO6 after structural relaxation, from the Alexandria database.

Unit cell a=5.3818 b=5.3818 c=5.3703 alpha=90.00 beta=90.00 gamma=120.00
Element x y z (fractional)
Li (0.3333, 0.6667, 0.0000)
Li (0.6667, 0.3333, 0.0000)
Ca (0.3333, 0.6667, 0.5000)
Ca (0.6667, 0.3333, 0.5000)
Pu (0.0000, 0.0000, 0.0000)
O (0.0000, 0.3240, 0.2178)
O (0.0000, 0.6760, 0.7822)
O (0.3240, 0.0000, 0.2178)
O (0.3240, 0.3240, 0.7822)
O (0.6760, 0.0000, 0.7822)
O (0.6760, 0.6760, 0.2178)

Values from the calculation:
uncorrected energy = -79.9 eV/cell
spin magnetization = 0.182 μB per atom
ΔE_f (raw) = -28.0 eV per formula unit
crystal system = trigonal
DOS at the Fermi energy = 0.73 states/eV/atom
space-group type = P-31m
V = 12.2 A^3/atom

***

# 2
The following is a PBE calculation of Ho5BeCu4 after structural relaxation, from the Alexandria database.

Unit cell a=3.4300 b=3.4300 c=17.2568 alpha=90.00 beta=90.00 gamma=90.00
Element x y z (fractional)
Ho (0.0000, 0.0000, 0.0000)
Ho (0.0000, 0.0000, 0.2020)
Ho (0.0000, 0.0000, 0.4038)
Ho (0.0000, 0.0000, 0.5962)
Ho (0.0000, 0.0000, 0.7980)
Be (0.5000, 0.5000, 0.5000)
Cu (0.5000, 0.5000, 0.1001)
Cu (0.5000, 0.5000, 0.3042)
Cu (0.5000, 0.5000, 0.6958)
Cu (0.5000, 0.5000, 0.8999)

Values from the calculation:
uncorrected energy = -45.0 eV/cell
spin magnetization = 0.000 μB per atom
crystal system = tetragonal
DOS at the Fermi energy = 0.49 states/eV/atom
formation energy from the elements = -200 meV per atom
space-group type = P4/mmm
V = 20.3 A^3/atom

***

# 3
The following is a PBE calculation of Pm2CuPt3 after structural relaxation, from the Alexandria database.

Unit cell a=8.9831 b=8.7160 c=5.7369 alpha=73.63 beta=68.58 gamma=37.79
Element x y z (fractional)
Pm (0.2500, 0.2500, 0.2500)
Pm (0.2505, 0.7495, 0.7495)
Pm (0.7495, 0.2505, 0.2505)
Pm (0.7500, 0.7500, 0.7500)
Cu (0.1669, 0.1669, 0.8331)
Cu (0.8331, 0.8331, 0.1669)
Pt (0.1600, 0.6719, 0.3281)
Pt (0.3252, 0.3252, 0.6748)
Pt (0.3281, 0.8400, 0.1600)
Pt (0.6719, 0.1600, 0.8400)
Pt (0.6748, 0.6748, 0.3252)
Pt (0.8400, 0.3281, 0.6719)

Values from the calculation:
uncorrected energy = -73.8 eV/cell
spin magnetization = 0.000 μB per atom
crystal system = orthorhombic
DOS at the Fermi energy = 0.61 states/eV/atom
formation energy from the elements = -862 meV per atom
space-group type = Fmmm
V = 21.4 A^3/atom